(1)
The following is a PBE calculation of a relaxed CdHg4H4 crystal, from the Alexandria database.

a b c (Å): 6.067 6.067 6.067
angles (deg): 104.14 104.14 120.77
Element x y z (fractional)
Cd: 0.000 0.000 0.000
Hg: 0.229 0.574 0.803
Hg: 0.426 0.229 0.656
Hg: 0.574 0.771 0.344
Hg: 0.771 0.426 0.197
H: 0.039 0.746 0.785
H: 0.254 0.039 0.293
H: 0.746 0.961 0.707
H: 0.961 0.254 0.215

**Space-group type**: No. 87


(2)
The following is a PBE calculation of a relaxed CdHg2H6 crystal, from the Alexandria database.

a b c (Å): 12.952 12.952 3.472
angles (deg): 97.52 97.52 149.64
Element x y z (fractional)
Cd: 0.000 0.000 0.000
Hg: 0.381 0.619 0.500
Hg: 0.619 0.381 0.500
H: 0.037 0.512 0.070
H: 0.436 0.436 0.937
H: 0.488 0.963 0.930
H: 0.512 0.037 0.070
H: 0.564 0.564 0.063
H: 0.963 0.488 0.930

**Space-group type**: No. 12


(3)
The following is a PBE calculation of a relaxed CdHgH2I crystal, from the Alexandria database.

a b c (Å): 4.206 4.206 6.602
angles (deg): 90.00 90.00 90.00
Element x y z (fractional)
Cd: 0.000 0.000 0.000
Hg: 0.500 0.500 0.500
H: 0.000 0.500 0.000
H: 0.500 0.000 0.000
I: 0.000 0.000 0.500

**Space-group type**: No. 123


Number 1: total magnetic moment 0.000 μB per formula unit, calculated total energy -1.3550 eV/atom. Number 2: total magnetic moment 0.000 μB per formula unit, calculated total energy -2.3332 eV/atom. Number 3: total magnetic moment 0.000 μB per formula unit, calculated total energy -1.6058 eV/atom.